(1)
Here is Cs6AgI5 after structural relaxation from Alexandria. Energies are from PBE. Values from VASP.

Values from the calculation:
Spin magnetization (μB/atom): 0.00
ρ (g cm⁻³): 3.5
Formation energy without anion corrections (meV per atom): -1276

```
&SYSTEM
  ibrav = 0, nat = 12, ntyp = 3
/
ATOMIC_SPECIES
Cs 132.91 Cs.upf
Ag 107.87 Ag.upf
I 126.90 I.upf
ATOMIC_POSITIONS crystal
Cs 0.0833 0.4158 0.7496
Cs 0.2494 0.2494 0.2508
Cs 0.4158 0.0833 0.7496
Cs 0.5842 0.9167 0.2504
Cs 0.7506 0.7506 0.7492
Cs 0.9167 0.5842 0.2504
Ag 0.0000 0.0000 0.5000
I 0.1667 0.8333 0.0000
I 0.3332 0.6668 0.5000
I 0.5000 0.5000 0.0000
I 0.6668 0.3332 0.5000
I 0.8333 0.1667 0.0000
CELL_PARAMETERS angstrom
4.7853 -8.3383 0.0000
4.7853 8.3383 0.0000
-3.2292 0.0000 9.0570
```

(2)
Here is CsAg2I3 after structural relaxation from Alexandria. Energies are from PBE. Values from VASP.

Values from the calculation:
Spin magnetization (μB/atom): 0.00
ρ (g cm⁻³): 4.7
Formation energy without anion corrections (meV per atom): -696

```
&SYSTEM
  ibrav = 0, nat = 24, ntyp = 3
/
ATOMIC_SPECIES
Cs 132.91 Cs.upf
Ag 107.87 Ag.upf
I 126.90 I.upf
ATOMIC_POSITIONS crystal
Cs 0.2100 0.2500 0.0058
Cs 0.2900 0.7500 0.5058
Cs 0.7100 0.2500 0.4942
Cs 0.7900 0.7500 0.9942
Ag 0.0024 0.0001 0.3239
Ag 0.0024 0.4999 0.3239
Ag 0.4976 0.9999 0.8239
Ag 0.4976 0.5001 0.8239
Ag 0.5024 0.0001 0.1761
Ag 0.5024 0.4999 0.1761
Ag 0.9976 0.9999 0.6761
Ag 0.9976 0.5001 0.6761
I 0.1082 0.2500 0.5029
I 0.1267 0.7500 0.8006
I 0.1381 0.7500 0.2111
I 0.3619 0.2500 0.7111
I 0.3733 0.2500 0.3006
I 0.3918 0.7500 0.0029
I 0.6082 0.2500 0.9971
I 0.6267 0.7500 0.6994
I 0.6381 0.7500 0.2889
I 0.8619 0.2500 0.7889
I 0.8733 0.2500 0.1994
I 0.8918 0.7500 0.4971
CELL_PARAMETERS angstrom
14.8341 0.0000 0.0000
0.0000 6.0653 0.0000
0.0000 0.0000 11.4878
```

(3)
Here is CsAg2I2 after structural relaxation from Alexandria. Energies are from PBE. Values from VASP.

Values from the calculation:
Spin magnetization (μB/atom): 0.00
ρ (g cm⁻³): 5.5
Formation energy without anion corrections (meV per atom): -367
Polymorph energy (0 for the lowest one) (kJ/mol of formula units): 9

```
&SYSTEM
  ibrav = 0, nat = 5, ntyp = 3
/
ATOMIC_SPECIES
Cs 132.91 Cs.upf
Ag 107.87 Ag.upf
I 126.90 I.upf
ATOMIC_POSITIONS crystal
Cs 0.0000 0.0000 0.0000
Ag 0.2500 0.7500 0.5000
Ag 0.7500 0.2500 0.5000
I 0.3753 0.3753 0.0000
I 0.6247 0.6247 0.0000
CELL_PARAMETERS angstrom
-2.2075 2.2075 9.3110
2.2075 -2.2075 9.3110
2.2075 2.2075 -9.3110
```

(4)
Here is Cs6AgI2 after structural relaxation from Alexandria. Energies are from PBE. Values from VASP.

Values from the calculation:
Spin magnetization (μB/atom): 0.00
ρ (g cm⁻³): 2.7
Formation energy without anion corrections (meV per atom): -612

```
&SYSTEM
  ibrav = 0, nat = 9, ntyp = 3
/
ATOMIC_SPECIES
Cs 132.91 Cs.upf
Ag 107.87 Ag.upf
I 126.90 I.upf
ATOMIC_POSITIONS crystal
Cs 0.0411 0.0411 0.2266
Cs 0.2486 0.2486 0.8302
Cs 0.3651 0.3651 0.4636
Cs 0.6349 0.6349 0.5364
Cs 0.7514 0.7514 0.1698
Cs 0.9589 0.9589 0.7734
Ag 0.0000 0.0000 0.5000
I 0.1877 0.1877 0.0880
I 0.8123 0.8123 0.9120
CELL_PARAMETERS angstrom
9.2170 -3.7074 0.0000
9.2170 3.7074 0.0000
-6.8834 0.0000 10.3688
```

| no. | calculated total energy (eV per atom) |
| --- | --- |
| 1 | -2.587 |
| 2 | -2.564 |
| 3 | -2.299 |
| 4 | -1.842 |